Computed, not measured: a geometry-optimized KNiN structure at the PBE-GGA level of DFT.

Summary:
Offset from the most stable computed form   0.144 eV/atom

Lattice parameters (Å, degrees): 3.562 3.562 9.487 90.00 90.00 90.00
Space group P4/nmm (No. 129, origin choice 2)
One atom of each set of equivalent atoms:
K 0.250 0.250 0.220
Ni 0.250 0.750 0.500
N 0.250 0.250 0.586